A geometry-optimized MgTcAs3 structure. Source: the Alexandria database, functional PBEsol.

abc: 4.790 4.790 4.790
angles: 90.00 90.00 90.00
Fractional coordinates of all 5 atoms:
Mg (0.000, 0.000, 0.000)
Tc (0.500, 0.500, 0.500)
As (0.000, 0.500, 0.500)
As (0.500, 0.000, 0.500)
As (0.500, 0.500, 0.000)

Values from the calculation:
For the uncorrected energy, the calculation gives -5.306 eV per atom. The value obtained for the formation energy is 0.35 eV/atom.

A geometry-optimized BeSiTc4 structure. Source: the Alexandria database, functional PBEsol.

abc: 4.968 4.968 4.968
angles: 60.00 60.00 60.00
Fractional coordinates of all 6 atoms:
Be (0.000, 0.000, 0.000)
Si (0.750, 0.750, 0.750)
Tc (0.375, 0.375, 0.375)
Tc (0.375, 0.375, 0.875)
Tc (0.375, 0.875, 0.375)
Tc (0.875, 0.375, 0.375)

Values from the calculation:
For the uncorrected energy, the calculation gives -8.564 eV per atom. As for the formation energy from raw total energies: 3.429 eV/f.u.

A geometry-optimized Sc2SbAs structure. Source: the Alexandria database, functional PBEsol.

abc: 3.116 3.116 9.433
angles: 90.00 90.00 90.00
Fractional coordinates of all 4 atoms:
Sc (0.000, 0.000, 0.000)
Sc (0.500, 0.500, 0.272)
Sb (0.500, 0.500, 0.769)
As (0.000, 0.000, 0.456)

Values from the calculation:
For the uncorrected energy, the calculation gives -6.072 eV per atom. As for the formation energy from raw total energies: -1.416 eV/f.u.

A geometry-optimized RbNiHg3 structure. Source: the Alexandria database, functional PBEsol.

abc: 5.073 5.073 5.073
angles: 90.00 90.00 90.00
Fractional coordinates of all 5 atoms:
Rb (0.000, 0.000, 0.000)
Ni (0.500, 0.500, 0.500)
Hg (0.000, 0.500, 0.500)
Hg (0.500, 0.000, 0.500)
Hg (0.500, 0.500, 0.000)

Values from the calculation:
For the uncorrected energy, the calculation gives -1.892 eV per atom. The value obtained for the formation energy is -0.12 eV/atom.

A geometry-optimized CoSnP2Pd structure. Source: the Alexandria database, functional PBEsol.

abc: 4.136 4.136 5.187
angles: 90.00 90.00 90.00
Fractional coordinates of all 5 atoms:
Co (0.000, 0.000, 0.000)
Sn (0.000, 0.000, 0.500)
P (0.000, 0.500, 0.000)
P (0.500, 0.000, 0.000)
Pd (0.500, 0.500, 0.500)

Values from the calculation:
For the uncorrected energy, the calculation gives -5.593 eV per atom. The value obtained for the formation energy is 0.31 eV/atom.

A geometry-optimized MgAgPt2 structure. Source: the Alexandria database, functional PBEsol.

abc: 4.745 4.745 2.885
angles: 90.00 90.00 106.95
Fractional coordinates of all 4 atoms:
Mg (0.000, 0.000, 0.000)
Ag (0.500, 0.500, 0.000)
Pt (0.000, 0.500, 0.500)
Pt (0.500, 0.000, 0.500)

Values from the calculation:
For the uncorrected energy, the calculation gives -5.138 eV per atom. The value obtained for the formation energy is -0.40 eV/atom.

A geometry-optimized Mn2AlFe structure. Source: the Alexandria database, functional PBEsol.

abc: 4.241 4.241 4.241
angles: 128.08 128.08 76.50
Fractional coordinates of all 4 atoms:
Mn (0.250, 0.750, 0.500)
Mn (0.750, 0.250, 0.500)
Al (0.000, 0.000, 0.000)
Fe (0.500, 0.500, 0.000)

Values from the calculation:
For the uncorrected energy, the calculation gives -8.166 eV per atom. The value obtained for the formation energy is -0.02 eV/atom.

A geometry-optimized Cs2CaRh structure. Source: the Alexandria database, functional PBEsol.

abc: 5.644 5.644 5.644
angles: 60.00 60.00 60.00
Fractional coordinates of all 4 atoms:
Cs (0.250, 0.250, 0.250)
Cs (0.750, 0.750, 0.750)
Ca (0.000, 0.000, 0.000)
Rh (0.500, 0.500, 0.500)

Values from the calculation:
For the uncorrected energy, the calculation gives -2.197 eV per atom. The value obtained for the formation energy is 0.84 eV/atom.